Material: Sr5Eu3F12
Method: DFT, GGA-PBE
State: optimized geometry

Output
DOS at the Fermi energy = 282.76 states/eV/cell

```
data_Sr5Eu3F12
_symmetry_space_group_name_H-M 'I a -3 d'
_symmetry_Int_Tables_number 230
_symmetry_space_group_name_Hall '-I 4bd 2c 3'
_cell_length_a 15.319
_cell_length_b 15.319
_cell_length_c 15.319
_cell_angle_alpha 90.00
_cell_angle_beta 90.00
_cell_angle_gamma 90.00
loop_
_atom_site_label
_atom_site_type_symbol
_atom_site_fract_x
_atom_site_fract_y
_atom_site_fract_z
_atom_site_occupancy
Sr1 Sr 0.000 0.000 0.000 1
Sr2 Sr 0.000 0.250 0.375 1
Eu1 Eu 0.000 0.250 0.125 1
F1 F 0.001 0.037 0.159 1
```

---

Material: ScCuSb2I
Method: DFT, GGA-PBE
State: optimized geometry

Output
Excess energy over the best structure of this formula in the dataset = 145.8 meV per atom
DOS at the Fermi energy = 3.69 states/eV/cell

```
data_ScCuSb2I
_symmetry_space_group_name_H-M 'P 4/m m m'
_symmetry_Int_Tables_number 123
_symmetry_space_group_name_Hall '-P 4 2'
_cell_length_a 5.547
_cell_length_b 5.547
_cell_length_c 5.569
_cell_angle_alpha 90.00
_cell_angle_beta 90.00
_cell_angle_gamma 90.00
loop_
_atom_site_label
_atom_site_type_symbol
_atom_site_fract_x
_atom_site_fract_y
_atom_site_fract_z
_atom_site_occupancy
Sc1 Sc 0.000 0.000 0.000 1
Cu1 Cu 0.500 0.500 0.500 1
Sb1 Sb 0.000 0.500 0.000 1
I1 I 0.000 0.000 0.500 1
```

---

Number 1: uncorrected energy -127.78 eV/f.u., mass density 4.15 Mg/m³, formation energy without anion corrections -3.305 eV/atom. Number 2: uncorrected energy -18.10 eV/f.u., mass density 4.64 Mg/m³, formation energy without anion corrections 0.425 eV/atom.